This record from Alexandria describes a geometry-optimized Sm3HgH structure. The functional is GGA-PBE.

Results
Space group = Pnma (62)
Theoretical density = 8.87 Mg/m³

Structure (POSCAR):
```
Sm3HgH
1.0
8.8933 0.0000 0.0000
0.0000 3.7085 0.0000
0.0000 0.0000 14.8165
Sm Hg H
12 4 4
direct
0.0157 0.2500 0.1013 Sm
0.1696 0.2500 0.5082 Sm
0.1877 0.7500 0.3025 Sm
0.3123 0.2500 0.8025 Sm
0.3304 0.7500 0.0082 Sm
0.4843 0.7500 0.6013 Sm
0.5157 0.2500 0.3987 Sm
0.6696 0.2500 0.9918 Sm
0.6877 0.7500 0.1975 Sm
0.8123 0.2500 0.6975 Sm
0.8304 0.7500 0.4918 Sm
0.9843 0.7500 0.8987 Sm
0.1049 0.7500 0.6771 Hg
0.3951 0.2500 0.1771 Hg
0.6049 0.7500 0.8229 Hg
0.8951 0.2500 0.3229 Hg
0.1637 0.2500 0.9492 H
0.3363 0.7500 0.4492 H
0.6637 0.2500 0.5508 H
0.8363 0.7500 0.0508 H
```

***

This record from Alexandria describes a geometry-optimized Pm5Sm3Th2 structure. The functional is GGA-PBE.

Results
Space group = C2/c (15)
Theoretical density = 7.93 Mg/m³
Calculated formation energy = 0.2164 eV/atom

Structure (POSCAR):
```
Pm5Sm3Th2
1.0
5.5469 -7.5095 0.0000
5.5469 7.5095 0.0000
-5.5411 0.0000 8.2449
Pm Sm Th
10 6 4
direct
0.0150 0.9850 0.7500 Pm
0.1227 0.3745 0.7464 Pm
0.2221 0.7779 0.7500 Pm
0.3745 0.1227 0.2464 Pm
0.4734 0.5266 0.2500 Pm
0.5266 0.4734 0.7500 Pm
0.6255 0.8773 0.7536 Pm
0.7779 0.2221 0.2500 Pm
0.8773 0.6255 0.2536 Pm
0.9850 0.0150 0.2500 Pm
0.2271 0.4775 0.4520 Sm
0.2652 0.7348 0.2500 Sm
0.4775 0.2271 0.9520 Sm
0.5225 0.7729 0.0480 Sm
0.7348 0.2652 0.7500 Sm
0.7729 0.5225 0.5480 Sm
0.0307 0.2810 0.0592 Th
0.2810 0.0307 0.5592 Th
0.7190 0.9693 0.4408 Th
0.9693 0.7190 0.9408 Th
```

***

This record from Alexandria describes a geometry-optimized Pm7Tl2Os2 structure. The functional is GGA-PBE.

Results
Space group = Cmmm (65)
Theoretical density = 8.75 Mg/m³
Calculated formation energy = -0.1359 eV/atom

Structure (POSCAR):
```
Pm7Tl2Os2
1.0
4.2032 -5.6120 0.0000
4.2032 5.6120 0.0000
0.0000 0.0000 7.2605
Pm Tl Os
7 2 2
direct
0.0000 0.0000 0.0000 Pm
0.0000 0.5000 0.2469 Pm
0.0000 0.5000 0.7531 Pm
0.5000 0.0000 0.2469 Pm
0.5000 0.0000 0.7531 Pm
0.5000 0.5000 0.2393 Pm
0.5000 0.5000 0.7607 Pm
0.1781 0.1781 0.5000 Tl
0.8219 0.8219 0.5000 Tl
0.2913 0.7087 0.0000 Os
0.7087 0.2913 0.0000 Os
```

***

This record from Alexandria describes a geometry-optimized NpNi2S3 structure. The functional is GGA-PBE.

Results
Space group = P2_1/m (11)
Theoretical density = 6.43 Mg/m³
Raw formation energy = -70.0 kJ per mole of atoms

Structure (POSCAR):
```
NpNi2S3
1.0
6.7207 0.0000 0.0000
0.0000 3.8038 0.0000
-1.9267 0.0000 9.1091
Np Ni S
2 4 6
direct
0.1654 0.2500 0.1717 Np
0.8346 0.7500 0.8283 Np
0.1937 0.2500 0.8535 Ni
0.4139 0.7500 0.4148 Ni
0.5861 0.2500 0.5852 Ni
0.8063 0.7500 0.1465 Ni
0.0657 0.7500 0.3371 S
0.2372 0.7500 0.9722 S
0.4677 0.7500 0.6608 S
0.5323 0.2500 0.3392 S
0.7628 0.2500 0.0278 S
0.9343 0.2500 0.6629 S
```

***

This record from Alexandria describes a geometry-optimized Sm3DySi4 structure. The functional is GGA-PBE.

Results
Space group = Immm (71)
Theoretical density = 5.90 Mg/m³
Raw formation energy = -54.0 kJ per mole of atoms

Structure (POSCAR):
```
Sm3DySi4
1.0
4.1005 0.0000 0.0000
0.0000 6.2930 0.0000
0.0000 0.0000 15.8443
Sm Dy Si
6 2 8
direct
0.0000 0.0000 0.0000 Sm
0.0000 0.5000 0.1939 Sm
0.0000 0.5000 0.8061 Sm
0.5000 0.0000 0.3061 Sm
0.5000 0.0000 0.6939 Sm
0.5000 0.5000 0.5000 Sm
0.0000 0.0000 0.5000 Dy
0.5000 0.5000 0.0000 Dy
0.0000 0.3150 0.3695 Si
0.0000 0.3150 0.6305 Si
0.0000 0.6850 0.3695 Si
0.0000 0.6850 0.6305 Si
0.5000 0.1850 0.1305 Si
0.5000 0.1850 0.8695 Si
0.5000 0.8150 0.1305 Si
0.5000 0.8150 0.8695 Si
```

***

This record from Alexandria describes a geometry-optimized KNpBi2O6 structure. The functional is GGA-PBE.

Results
Space group = C2/c (15)
Theoretical density = 6.97 Mg/m³
Raw formation energy = -179.4 kJ per mole of atoms

Structure (POSCAR):
```
KNpBi2O6
1.0
5.2794 -5.3845 0.0000
5.2794 5.3845 0.0000
-0.6604 0.0000 6.6219
K Np Bi O
2 2 4 12
direct
0.0798 0.9202 0.7500 K
0.9202 0.0798 0.2500 K
0.2807 0.7193 0.2500 Np
0.7193 0.2807 0.7500 Np
0.2182 0.4381 0.6727 Bi
0.4381 0.2182 0.1727 Bi
0.5619 0.7818 0.8273 Bi
0.7818 0.5619 0.3273 Bi
0.0039 0.7406 0.3449 O
0.2079 0.6396 0.9670 O
0.2594 0.9961 0.1551 O
0.2850 0.4201 0.3257 O
0.3604 0.7921 0.5330 O
0.4201 0.2850 0.8257 O
0.5799 0.7150 0.1743 O
0.6396 0.2079 0.4670 O
0.7150 0.5799 0.6743 O
0.7406 0.0039 0.8449 O
0.7921 0.3604 0.0330 O
0.9961 0.2594 0.6551 O
```

***

This record from Alexandria describes a geometry-optimized Rb6CdAu structure. The functional is GGA-PBE.

Results
Space group = Amm2 (38)
Theoretical density = 2.55 Mg/m³
Calculated formation energy = -0.0838 eV/atom

Structure (POSCAR):
```
Rb6CdAu
1.0
4.8646 0.0000 0.0000
0.0000 14.0826 0.0000
0.0000 0.0000 15.6262
Rb Cd Au
12 2 2
direct
0.0000 0.0000 0.0000 Rb
0.0000 0.1501 0.7097 Rb
0.0000 0.3499 0.2097 Rb
0.0000 0.5000 0.5000 Rb
0.0000 0.6501 0.2097 Rb
0.0000 0.8499 0.7097 Rb
0.5000 0.0000 0.2697 Rb
0.5000 0.2102 0.4696 Rb
0.5000 0.2898 0.9696 Rb
0.5000 0.5000 0.7697 Rb
0.5000 0.7102 0.9696 Rb
0.5000 0.7898 0.4696 Rb
0.0000 0.0000 0.4960 Cd
0.0000 0.5000 0.9960 Cd
0.5000 0.0000 0.5922 Au
0.5000 0.5000 0.0922 Au
```

***

This record from Alexandria describes a geometry-optimized TaTc5 structure. The functional is GGA-PBE.

Results
Space group = Cmmm (65)
Theoretical density = 12.16 Mg/m³
Calculated formation energy = -0.0014 eV/atom

Structure (POSCAR):
```
TaTc5
1.0
3.8640 0.0000 0.0000
0.0000 12.0357 0.0000
0.0000 0.0000 3.9406
Ta Tc
2 10
direct
0.0000 0.0000 0.0000 Ta
0.5000 0.5000 0.0000 Ta
0.0000 0.1735 0.5000 Tc
0.0000 0.3226 0.0000 Tc
0.0000 0.5000 0.5000 Tc
0.0000 0.6774 0.0000 Tc
0.0000 0.8265 0.5000 Tc
0.5000 0.0000 0.5000 Tc
0.5000 0.1774 0.0000 Tc
0.5000 0.3265 0.5000 Tc
0.5000 0.6735 0.5000 Tc
0.5000 0.8226 0.0000 Tc
```

***

This record from Alexandria describes a geometry-optimized La4GeTeN structure. The functional is GGA-PBE.

Results
Space group = Cmcm (63)
Theoretical density = 6.44 Mg/m³
Raw formation energy = -100.4 kJ per mole of atoms

Structure (POSCAR):
```
La4GeTeN
1.0
3.4051 -8.4286 0.0000
3.4051 8.4286 0.0000
0.0000 0.0000 6.9127
La Ge Te N
8 2 2 2
direct
0.0000 0.5000 0.0000 La
0.0000 0.5000 0.5000 La
0.0759 0.9241 0.7500 La
0.4163 0.5837 0.7500 La
0.5000 0.0000 0.0000 La
0.5000 0.0000 0.5000 La
0.5837 0.4163 0.2500 La
0.9241 0.0759 0.2500 La
0.1134 0.8866 0.2500 Ge
0.8866 0.1134 0.7500 Ge
0.3916 0.6084 0.2500 Te
0.6084 0.3916 0.7500 Te
0.2200 0.7800 0.7500 N
0.7800 0.2200 0.2500 N
```

***

This record from Alexandria describes a geometry-optimized NdCd2 structure. The functional is GGA-PBE.

Results
Space group = Fd-3m (227)
Theoretical density = 8.00 Mg/m³
Calculated formation energy = -0.3051 eV/atom

Structure (POSCAR):
```
NdCd2
1.0
0.0000 4.2466 4.2466
4.2466 0.0000 4.2466
4.2466 4.2466 0.0000
Nd Cd
2 4
direct
0.1250 0.1250 0.1250 Nd
0.8750 0.8750 0.8750 Nd
0.0000 0.5000 0.5000 Cd
0.5000 0.0000 0.5000 Cd
0.5000 0.5000 0.0000 Cd
0.5000 0.5000 0.5000 Cd
```

***

This record from Alexandria describes a geometry-optimized K2HfAg structure. The functional is GGA-PBE.

Results
Space group = I-42d (122)
Theoretical density = 3.56 Mg/m³
Calculated formation energy = 1.0230 eV/atom

Structure (POSCAR):
```
K2HfAg
1.0
11.1807 0.0000 0.0000
0.0000 11.1807 0.0000
0.0000 0.0000 5.4358
K Hf Ag
8 4 4
direct
0.1395 0.2500 0.1250 K
0.2500 0.6395 0.3750 K
0.2500 0.8605 0.8750 K
0.3605 0.2500 0.6250 K
0.6395 0.7500 0.6250 K
0.7500 0.1395 0.8750 K
0.7500 0.3605 0.3750 K
0.8605 0.7500 0.1250 K
0.0000 0.0000 0.5000 Hf
0.0000 0.5000 0.7500 Hf
0.5000 0.0000 0.2500 Hf
0.5000 0.5000 0.0000 Hf
0.0000 0.0000 0.0000 Ag
0.0000 0.5000 0.2500 Ag
0.5000 0.0000 0.7500 Ag
0.5000 0.5000 0.5000 Ag
```

***

This record from Alexandria describes a geometry-optimized Gd2SeO2 structure. The functional is GGA-PBE.

Results
Space group = P-3m1 (164)
Theoretical density = 7.72 Mg/m³
Raw formation energy = -295.5 kJ per mole of atoms

Structure (POSCAR):
```
Gd2SeO2
1.0
3.9089 0.0000 0.0000
-1.9544 3.3852 0.0000
0.0000 0.0000 6.9175
Gd Se O
2 1 2
direct
0.3333 0.6667 0.2897 Gd
0.6667 0.3333 0.7103 Gd
0.0000 0.0000 0.0000 Se
0.3333 0.6667 0.6256 O
0.6667 0.3333 0.3744 O
```

***

This record from Alexandria describes a geometry-optimized TiMnCrB structure. The functional is GGA-PBE.

Results
Space group = P4mm (99)
Theoretical density = 6.23 Mg/m³
Calculated formation energy = -0.1162 eV/atom

Structure (POSCAR):
```
TiMnCrB
1.0
2.7777 0.0000 0.0000
0.0000 2.7777 0.0000
0.0000 0.0000 5.7209
Ti Mn Cr B
1 1 1 1
direct
0.0000 0.0000 0.0000 Ti
0.0000 0.0000 0.4387 Mn
0.5000 0.5000 0.6776 Cr
0.5000 0.5000 0.2742 B
```

***

This record from Alexandria describes a geometry-optimized PaZnCo2 structure. The functional is GGA-PBE.

Results
Space group = P4/mmm (123)
Theoretical density = 11.68 Mg/m³
Calculated formation energy = -0.0791 eV/atom

Structure (POSCAR):
```
PaZnCo2
1.0
3.0031 0.0000 0.0000
0.0000 3.0031 0.0000
0.0000 0.0000 6.5306
Pa Zn Co
1 1 2
direct
0.0000 0.0000 0.0000 Pa
0.0000 0.0000 0.5000 Zn
0.5000 0.5000 0.2904 Co
0.5000 0.5000 0.7096 Co
```

***

This record from Alexandria describes a geometry-optimized LiCaLa2Pd structure. The functional is GGA-PBE.

Results
Space group = P4/mmm (123)
Theoretical density = 4.24 Mg/m³
Calculated formation energy = -0.1532 eV/atom

Structure (POSCAR):
```
LiCaLa2Pd
1.0
5.7015 0.0000 0.0000
0.0000 5.7015 0.0000
0.0000 0.0000 5.2002
Li Ca La Pd
1 1 2 1
direct
0.0000 0.0000 0.0000 Li
0.5000 0.5000 0.0000 Ca
0.0000 0.5000 0.5000 La
0.5000 0.0000 0.5000 La
0.0000 0.0000 0.5000 Pd
```

***

This record from Alexandria describes a geometry-optimized Sm5Dy2HoTm structure. The functional is GGA-PBE.

Results
Space group = Cmc2_1 (36)
Theoretical density = 7.79 Mg/m³
Calculated formation energy = 0.1458 eV/atom

Structure (POSCAR):
```
Sm5Dy2HoTm
1.0
2.8039 -10.0873 0.0000
2.8039 10.0873 0.0000
0.0000 0.0000 10.6298
Sm Dy Ho Tm
10 4 2 2
direct
0.0167 0.9833 0.5000 Sm
0.2800 0.7200 0.7924 Sm
0.2988 0.7012 0.1884 Sm
0.3861 0.6139 0.5030 Sm
0.4821 0.5179 0.2240 Sm
0.5179 0.4821 0.7240 Sm
0.6139 0.3861 0.0030 Sm
0.7012 0.2988 0.6884 Sm
0.7200 0.2800 0.2924 Sm
0.9833 0.0167 0.0000 Sm
0.1117 0.8883 0.2192 Dy
0.1143 0.8857 0.7937 Dy
0.8857 0.1143 0.2937 Dy
0.8883 0.1117 0.7192 Dy
0.1990 0.8010 0.4920 Ho
0.8010 0.1990 0.9920 Ho
0.4089 0.5911 0.9431 Tm
0.5911 0.4089 0.4431 Tm
```

***

This record from Alexandria describes a geometry-optimized HgI structure. The functional is GGA-PBE.

Results
Space group = I4/m (87)
Theoretical density = 7.18 Mg/m³
Raw formation energy = -8.4 kJ per mole of atoms

Structure (POSCAR):
```
HgI
1.0
11.0710 0.0000 0.0000
0.0000 11.0710 0.0000
0.0000 0.0000 4.9468
Hg I
8 8
direct
0.1141 0.1480 0.0000 Hg
0.1480 0.8859 0.0000 Hg
0.3520 0.6141 0.5000 Hg
0.3859 0.3520 0.5000 Hg
0.6141 0.6480 0.5000 Hg
0.6480 0.3859 0.5000 Hg
0.8520 0.1141 0.0000 Hg
0.8859 0.8520 0.0000 Hg
0.1069 0.3168 0.5000 I
0.1832 0.6069 0.0000 I
0.3168 0.8931 0.5000 I
0.3931 0.1832 0.0000 I
0.6069 0.8168 0.0000 I
0.6832 0.1069 0.5000 I
0.8168 0.3931 0.0000 I
0.8931 0.6832 0.5000 I
```

***

This record from Alexandria describes a geometry-optimized AsOsRh3 structure. The functional is GGA-PBE.

Results
Space group = Pm-3m (221)
Theoretical density = 10.50 Mg/m³
Calculated formation energy = 1.1506 eV/atom

Structure (POSCAR):
```
AsOsRh3
1.0
4.4934 0.0000 0.0000
0.0000 4.4934 0.0000
0.0000 0.0000 4.4934
As Os Rh
1 1 3
direct
0.0000 0.0000 0.0000 As
0.5000 0.5000 0.5000 Os
0.0000 0.0000 0.5000 Rh
0.0000 0.5000 0.0000 Rh
0.5000 0.0000 0.0000 Rh
```

***

This record from Alexandria describes a geometry-optimized AlZn3Cu6 structure. The functional is GGA-PBE.

Results
Space group = P2_1/m (11)
Theoretical density = 7.69 Mg/m³
Calculated formation energy = -0.0576 eV/atom

Structure (POSCAR):
```
AlZn3Cu6
1.0
9.6203 0.0000 0.0000
0.0000 2.6203 0.0000
-2.0516 0.0000 10.3582
Al Zn Cu
2 6 12
direct
0.0440 0.2500 0.2106 Al
0.9560 0.7500 0.7894 Al
0.0807 0.2500 0.5962 Zn
0.3697 0.7500 0.0009 Zn
0.4186 0.2500 0.3981 Zn
0.5814 0.7500 0.6019 Zn
0.6303 0.2500 0.9991 Zn
0.9193 0.7500 0.4038 Zn
0.1200 0.2500 0.9776 Cu
0.1898 0.7500 0.4184 Cu
0.2203 0.7500 0.7864 Cu
0.2668 0.7500 0.1968 Cu
0.3452 0.2500 0.6189 Cu
0.4909 0.7500 0.8074 Cu
0.5091 0.2500 0.1926 Cu
0.6548 0.7500 0.3811 Cu
0.7332 0.2500 0.8032 Cu
0.7797 0.2500 0.2136 Cu
0.8102 0.2500 0.5816 Cu
0.8800 0.7500 0.0224 Cu
```

***

This record from Alexandria describes a geometry-optimized CoMo2W structure. The functional is GGA-PBE.

Results
Space group = Pm (6)
Theoretical density = 12.13 Mg/m³
Calculated formation energy = 0.1637 eV/atom

Structure (POSCAR):
```
CoMo2W
1.0
2.6753 0.0000 0.0000
0.0000 4.3699 0.0000
-0.8360 0.0000 5.0893
Co Mo W
1 2 1
direct
0.0000 0.0000 0.0000 Co
0.4872 0.0000 0.5029 Mo
0.7227 0.5000 0.2503 Mo
0.2425 0.5000 0.7598 W
```

***

Number 1: total DFT energy (no corrections) -3.893 eV per atom. Number 2: total DFT energy (no corrections) -5.059 eV per atom. Number 3: total DFT energy (no corrections) -5.631 eV per atom. Number 4: total DFT energy (no corrections) -6.873 eV per atom. Number 5: total DFT energy (no corrections) -5.617 eV per atom. Number 6: total DFT energy (no corrections) -7.014 eV per atom. Number 7: total DFT energy (no corrections) -1.333 eV per atom. Number 8: total DFT energy (no corrections) -10.615 eV per atom. Number 9: total DFT energy (no corrections) -6.154 eV per atom. Number 10: total DFT energy (no corrections) -2.504 eV per atom. Number 11: total DFT energy (no corrections) -2.727 eV per atom. Number 12: total DFT energy (no corrections) -11.375 eV per atom. Number 13: total DFT energy (no corrections) -8.457 eV per atom. Number 14: total DFT energy (no corrections) -6.324 eV per atom. Number 15: total DFT energy (no corrections) -3.946 eV per atom. Number 16: total DFT energy (no corrections) -4.504 eV per atom. Number 17: total DFT energy (no corrections) -1.013 eV per atom. Number 18: total DFT energy (no corrections) -6.436 eV per atom. Number 19: total DFT energy (no corrections) -3.272 eV per atom. Number 20: total DFT energy (no corrections) -10.267 eV per atom.